A geometry-optimized MgRe2Ru structure. Source: the Alexandria database, functional PBE.

Cell lengths 3.0742, 3.0742, 6.4173 Å; angles 90.00, 90.00, 90.00 degrees
Fractional coordinates of all 4 atoms:
Mg1 0.0000 0.0000 0.0000
Re1 0.0000 0.0000 0.4999
Re2 0.5000 0.5000 0.2743
Ru1 0.5000 0.5000 0.7537

Summary:
SG: No. 99
Raw total energy, eV per atom: -8.790
DOS at the Fermi energy, states/eV/f.u.: 2.27
ΔE_f, kJ/mol of atoms: 14.63